Entry from the Alexandria database: a relaxed structure of NaZrCuSe3 (PBE).

a = 13.7817 Å, b = 3.8680 Å, c = 10.3755 Å
α = 90.00°, β = 90.00°, γ = 90.00°
Closest atoms and distances in Å follow each position.
Positions (direct):
Na 0.2282 0.2500 0.0481  6 Se 3.03-3.14
Na 0.2718 0.7500 0.5481  6 Se 3.03-3.14
Na 0.7282 0.2500 0.4519  6 Se 3.03-3.14
Na 0.7718 0.7500 0.9519  6 Se 3.03-3.14
Zr 0.0090 0.2500 0.3211  6 Se 2.64-2.83
Zr 0.4910 0.7500 0.8211  6 Se 2.64-2.83
Zr 0.5090 0.2500 0.1789  6 Se 2.64-2.83
Zr 0.9910 0.7500 0.6789  6 Se 2.64-2.83
Cu 0.0067 0.7500 0.0922  4 Se 2.44-2.56, 2 Cu 2.73
Cu 0.4933 0.2500 0.5922  4 Se 2.44-2.56, 2 Cu 2.73
Cu 0.5067 0.7500 0.4078  4 Se 2.44-2.56, 2 Cu 2.73
Cu 0.9933 0.2500 0.9078  4 Se 2.44-2.56, 2 Cu 2.73
Se 0.1031 0.2500 0.5637  3 Zr 2.75-2.83, 2 Na 3.03
Se 0.1052 0.7500 0.8831  3 Cu 2.49-2.56, 1 Zr 2.64
Se 0.1362 0.7500 0.2527  1 Cu 2.44, 2 Zr 2.71
Se 0.3638 0.2500 0.7527  1 Cu 2.44, 2 Zr 2.71
Se 0.3948 0.2500 0.3831  3 Cu 2.49-2.56, 1 Zr 2.64
Se 0.3969 0.7500 0.0637  3 Zr 2.75-2.83, 2 Na 3.03
Se 0.6031 0.2500 0.9363  3 Zr 2.75-2.83, 2 Na 3.03
Se 0.6052 0.7500 0.6169  3 Cu 2.49-2.56, 1 Zr 2.64
Se 0.6362 0.7500 0.2473  1 Cu 2.44, 2 Zr 2.71
Se 0.8638 0.2500 0.7473  1 Cu 2.44, 2 Zr 2.71
Se 0.8948 0.2500 0.1169  3 Cu 2.49-2.56, 1 Zr 2.64
Se 0.8969 0.7500 0.4363  3 Zr 2.75-2.83, 2 Na 3.03

Properties
Crystal system: orthorhombic
DOS(E_F) in states/eV/cell: 0.614
Space group: Pnma, No. 62
Energy relative to the elements, uncorrected in eV/f.u.: -6.37

=====

Entry from the Alexandria database: a relaxed structure of SrScTa (PBE).

a = 6.5286 Å, b = 6.5286 Å, c = 6.5286 Å
α = 151.32°, β = 142.11°, γ = 48.20°
Closest atoms and distances in Å follow each position.
Positions (direct):
Sr 0.0000 0.0000 0.0000  2 Sr 3.23, 1 Sc 3.48, 4 Ta 3.51
Sc 0.2919 0.2919 0.0000  4 Ta 2.92, 2 Sc 3.23
Ta 0.6909 0.6909 0.0000  4 Sc 2.92, 2 Ta 3.23

Properties
Polymorph energy (0 for the lowest one) in meV/atom: 150
Crystal system: orthorhombic
E_form in eV/atom: 0.67
DOS(E_F) in states/eV/cell: 4.342
Space group: Imm2, No. 44